{
  "formula": "CrIr2Pt",
  "functional": "meta-GGA SCAN",
  "state": "PBEsol geometry",
  "lattice": [[3.805, 0.000, 0.000], [0.000, 3.805, 0.000], [-1.902, -1.902, 3.774]],
  "species": ["Cr", "Pt", "Ir", "Ir"],
  "frac_coords": [[0.000, 0.000, 0.000], [0.500, 0.500, 0.000], [0.250, 0.750, 0.500], [0.750, 0.250, 0.500]],
  "formation_energy_ev_per_atom": -0.2272
}